[1]
DFT (PBE) results for a geometry-optimized ScCd2Si structure.

ΔE_f (raw) in kJ/mol of formula units: -67
Total moment in Bohr magnetons per cell: 0.0

a = 4.077 Å, b = 4.077 Å, c = 9.667 Å
α = 90.00°, β = 90.00°, γ = 90.00°
Space group I4/mmm (No. 139)
Unique sites:
Sc1 0.000 0.000 0.000
Cd1 0.000 0.500 0.250
Si1 0.000 0.000 0.500

---

[2]
DFT (PBE) results for a geometry-optimized Ga2SiAs structure.

Distance to the lowest polymorph of the same formula in kJ/mol of formula units: 121
ΔE_f (raw) in kJ/mol of formula units: 117
Total moment in Bohr magnetons per cell: 0.0

a = 6.609 Å, b = 6.609 Å, c = 6.609 Å
α = 90.00°, β = 90.00°, γ = 90.00°
Space group Fm-3m (No. 225)
Unique sites:
Ga1 0.250 0.250 0.250
Si1 0.000 0.000 0.000
As1 0.000 0.000 0.500

---

[3]
DFT (PBE) results for a geometry-optimized Pm4SmEr4 structure.

Total moment in Bohr magnetons per cell: 0.0
ΔH_f (0 K) in eV per atom: 0.019

a = 10.761 Å, b = 10.761 Å, c = 5.052 Å
α = 90.00°, β = 90.00°, γ = 90.00°
Space group I4/mmm (No. 139)
Unique sites:
Pm1 0.000 0.331 0.000
Sm1 0.000 0.000 0.000
Er1 0.166 0.166 0.500

---

[4]
DFT (PBE) results for a geometry-optimized NaInGa4 structure.

Distance to the lowest polymorph of the same formula in kJ/mol of formula units: 0
Total moment in Bohr magnetons per cell: 0.0
ΔH_f (0 K) in eV per atom: -0.050

a = 8.007 Å, b = 8.007 Å, c = 8.007 Å
α = 90.00°, β = 90.00°, γ = 90.00°
Space group F-43m (No. 216)
Unique sites:
Na1 0.000 0.000 0.000
In1 0.250 0.250 0.250
Ga1 0.125 0.125 0.625

---

[5]
DFT (PBE) results for a geometry-optimized TlCd2Ni structure.

Distance to the lowest polymorph of the same formula in kJ/mol of formula units: 0
Total moment in Bohr magnetons per cell: 0.0
ΔH_f (0 K) in eV per atom: 0.085

a = 13.681 Å, b = 3.023 Å, c = 4.483 Å
α = 90.00°, β = 109.02°, γ = 90.00°
Space group Cm (No. 8)
Unique sites:
Tl1 0.000 0.000 0.000
Cd1 0.144 0.500 0.644
Cd2 0.314 0.500 0.314
Ni1 0.318 0.000 0.818

---

[6]
DFT (PBE) results for a geometry-optimized SbHSeI2 structure.

Distance to the lowest polymorph of the same formula in kJ/mol of formula units: 98
Total moment in Bohr magnetons per cell: 2.0

a = 6.007 Å, b = 6.007 Å, c = 5.478 Å
α = 90.00°, β = 90.00°, γ = 90.00°
Space group P4/mmm (No. 123)
Unique sites:
Sb1 0.000 0.000 0.000
H1 0.500 0.500 0.000
Se1 0.000 0.000 0.500
I1 0.000 0.500 0.500

---

[7]
DFT (PBE) results for a geometry-optimized YMnAgCl6 structure.

ΔE_f (raw) in kJ/mol of formula units: -1266
Total moment in Bohr magnetons per cell: 10.0

a = 6.6343 Å, b = 6.6343 Å, c = 12.2419 Å
α = 90.00°, β = 90.00°, γ = 120.00°
Space group P-31c (No. 163)
Unique sites:
Y1 0.3333 0.6667 0.2500
Mn1 0.3333 0.6667 0.7500
Ag1 0.0000 0.0000 0.0000
Cl1 0.0130 0.3574 0.6308

---

[8]
DFT (PBE) results for a geometry-optimized PmDyCu structure.

Distance to the lowest polymorph of the same formula in kJ/mol of formula units: 57
Total moment in Bohr magnetons per cell: 0.0
ΔH_f (0 K) in eV per atom: 0.088

a = 6.935 Å, b = 6.935 Å, c = 6.935 Å
α = 90.00°, β = 90.00°, γ = 90.00°
Space group F-43m (No. 216)
Unique sites:
Pm1 0.000 0.000 0.000
Dy1 0.000 0.000 0.500
Cu1 0.250 0.250 0.750

---

[9]
DFT (PBE) results for a geometry-optimized Ca3In5Se12 structure.

ΔE_f (raw) in kJ/mol of formula units: -1513
Total moment in Bohr magnetons per cell: 0.0

a = 16.626 Å, b = 16.626 Å, c = 16.626 Å
α = 90.00°, β = 90.00°, γ = 90.00°
Space group Ia-3d (No. 230)
Unique sites:
Ca1 0.000 0.250 0.125
In1 0.000 0.000 0.000
In2 0.000 0.250 0.375
Se1 0.021 0.066 0.652

---

[10]
DFT (PBE) results for a geometry-optimized LiCa6Cd2 structure.

Distance to the lowest polymorph of the same formula in kJ/mol of formula units: 4
Total moment in Bohr magnetons per cell: 0.0
ΔH_f (0 K) in eV per atom: -0.141

a = 10.400 Å, b = 10.400 Å, c = 5.419 Å
α = 90.00°, β = 90.00°, γ = 90.00°
Space group P4_2/mnm (No. 136)
Unique sites:
Li1 0.000 0.000 0.000
Ca1 0.029 0.311 0.000
Ca2 0.123 0.877 0.500
Cd1 0.203 0.203 0.500

---

[11]
DFT (PBE) results for a geometry-optimized Na2TaF structure.

Distance to the lowest polymorph of the same formula in kJ/mol of formula units: 230
ΔE_f (raw) in kJ/mol of formula units: 283
Total moment in Bohr magnetons per cell: 16.0

a = 7.354 Å, b = 7.354 Å, c = 7.354 Å
α = 90.00°, β = 90.00°, γ = 90.00°
Space group Fm-3m (No. 225)
Unique sites:
Na1 0.250 0.250 0.250
Ta1 0.000 0.000 0.000
F1 0.000 0.000 0.500

---

[12]
DFT (PBE) results for a geometry-optimized NaLa3Y3Te8 structure.

ΔE_f (raw) in kJ/mol of formula units: -2085
Total moment in Bohr magnetons per cell: 0.0

a = 8.9087 Å, b = 8.9087 Å, c = 21.9275 Å
α = 90.00°, β = 90.00°, γ = 120.00°
Space group R-3m (No. 166, hexagonal axes)
Unique sites:
Na1 0.0000 0.0000 0.0000
La1 0.0000 0.5000 0.5000
Y1 0.0000 0.5000 0.0000
Te1 0.0000 0.0000 0.2550
Te2 0.0129 0.5064 0.2516

---

- Among the records above, which one has the highest total moment?
  Na2TaF